A plane-wave DFT calculation with GGA-PBE was carried out for a relaxed structure of Dy3Te2Pd.

Values from the calculation:
ΔE_f (raw) = -109.92 kJ/mol of atoms

Structure (CIF):
```
data_Dy3Te2Pd
_chemical_formula_sum 'Dy12 Te8 Pd4'
_symmetry_space_group_name_H-M 'C 1 2/m 1'
_symmetry_Int_Tables_number 12
_symmetry_space_group_name_Hall '-C 2y'
_cell_length_a 7.2976
_cell_length_b 12.6955
_cell_length_c 7.6799
_cell_angle_alpha 90.00
_cell_angle_beta 108.81
_cell_angle_gamma 90.00
loop_
_atom_site_label
_atom_site_fract_x
_atom_site_fract_y
_atom_site_fract_z
Dy1 0.2140 0.0000 0.2199
Dy2 0.2440 0.1787 0.7726
Te1 0.0000 0.0000 0.5000
Te2 0.0000 0.3439 0.5000
Te3 0.0000 0.5000 0.0000
Pd1 0.0000 0.1699 0.0000
```